The following is a DFT calculation (PBE) of a relaxed Ba2ScTi crystal.

a b c (Å): 8.2204 8.2204 8.2204
angles (deg): 90.00 90.00 90.00
Closest atoms and distances in Å follow each position.
Element x y z (fractional)
Ba1 0.2500 0.2500 0.2500  4 Sc 3.56, 4 Ti 3.56
Ba2 0.2500 0.2500 0.7500  4 Sc 3.56, 4 Ti 3.56
Ba3 0.2500 0.7500 0.2500  4 Sc 3.56, 4 Ti 3.56
Ba4 0.2500 0.7500 0.7500  4 Sc 3.56, 4 Ti 3.56
Ba5 0.7500 0.2500 0.2500  4 Sc 3.56, 4 Ti 3.56
Ba6 0.7500 0.2500 0.7500  4 Sc 3.56, 4 Ti 3.56
Ba7 0.7500 0.7500 0.2500  4 Sc 3.56, 4 Ti 3.56
Ba8 0.7500 0.7500 0.7500  4 Sc 3.56, 4 Ti 3.56
Sc1 0.0000 0.0000 0.0000  8 Ba 3.56
Sc2 0.0000 0.5000 0.5000  8 Ba 3.56
Sc3 0.5000 0.0000 0.5000  8 Ba 3.56
Sc4 0.5000 0.5000 0.0000  8 Ba 3.56
Ti1 0.0000 0.0000 0.5000  8 Ba 3.56
Ti2 0.0000 0.5000 0.0000  8 Ba 3.56
Ti3 0.5000 0.0000 0.0000  8 Ba 3.56
Ti4 0.5000 0.5000 0.5000  8 Ba 3.56

## Properties
Space group: Fm-3m (225)
Total magnetization (μB per atom): 0.0005
E (eV per atom): -3.750
Calculated formation energy (eV/atom): 0.77
E above lowest polymorph (eV per atom): 0.000

=====

The following is a DFT calculation (PBE) of a relaxed LiBiSe2N crystal.

a b c (Å): 5.5742 5.5742 4.5944
angles (deg): 90.00 90.00 90.00
Closest atoms and distances in Å follow each position.
Element x y z (fractional)
Li1 0.0000 0.0000 0.0000  8 Se 3.61, 4 N 3.94
Bi1 0.5000 0.5000 0.5000  2 N 2.30
Se1 0.0000 0.5000 0.5000  2 Bi 2.79
Se2 0.5000 0.0000 0.5000  2 Bi 2.79
N1 0.5000 0.5000 0.0000  2 Bi 2.30

## Properties
Space group: P4/mmm (123)
Raw formation energy (meV/atom): 617
Total magnetization (μB per atom): 0.4191
E (eV per atom): -3.600
E above lowest polymorph (eV per atom): 0.127

=====

The following mass density values (in g/cm3) correspond, in order, to the records above: 4.4, 4.5.